# 1
! ScSbRu2Se (GGA-PBE, relaxed); values from VASP
! Uncorrected formation energy = 0.957 eV per atom
&SYSTEM
  ibrav = 0, nat = 5, ntyp = 4
/
ATOMIC_SPECIES
Sc 44.96 Sc.upf
Sb 121.76 Sb.upf
Ru 101.07 Ru.upf
Se 78.96 Se.upf
CELL_PARAMETERS angstrom
4.828 0.000 0.000
0.000 4.828 0.000
0.000 0.000 5.404
ATOMIC_POSITIONS angstrom
Sc 0.000 0.000 0.000
Sb 0.000 0.000 2.702
Ru 0.000 2.414 2.702
Ru 2.414 0.000 2.702
Se 2.414 2.414 0.000



# 2
! MgS4 (GGA-PBE, relaxed); values from VASP
! Uncorrected formation energy = 0.735 eV per atom
&SYSTEM
  ibrav = 0, nat = 5, ntyp = 2
/
ATOMIC_SPECIES
Mg 24.30 Mg.upf
S 32.06 S.upf
CELL_PARAMETERS angstrom
4.744 0.000 0.000
0.000 4.744 0.000
0.000 0.000 4.744
ATOMIC_POSITIONS angstrom
Mg 0.000 0.000 0.000
S 0.000 0.000 2.372
S 0.000 2.372 0.000
S 2.372 0.000 0.000
S 2.372 2.372 2.372



# 3
! Ho2Er3Tm6Pb (GGA-PBE, relaxed); values from VASP
! Electronic total energy = -4.495 eV per atom
&SYSTEM
  ibrav = 0, nat = 12, ntyp = 4
/
ATOMIC_SPECIES
Ho 164.93 Ho.upf
Er 167.26 Er.upf
Tm 168.93 Tm.upf
Pb 207.20 Pb.upf
CELL_PARAMETERS angstrom
3.008 -5.214 0.000
3.008 5.214 0.000
-2.018 0.000 11.365
ATOMIC_POSITIONS angstrom
Ho 3.008 3.481 0.000
Ho 3.008 -3.481 0.000
Er -1.009 0.000 5.682
Er 2.000 1.740 5.682
Er 2.000 -1.740 5.682
Tm 0.003 1.723 8.535
Tm 1.014 0.000 2.843
Tm 0.003 -1.723 8.535
Tm 3.996 1.723 2.830
Tm 2.985 0.000 8.521
Tm 3.996 -1.723 2.830
Pb 3.008 0.000 0.000



Magnetization values, unit μB per cell, following the record order: 1.9, 0.0, 0.0.